1.
A relaxed Ca3TiSn crystal. Source: the Alexandria database, functional GGA-PBE.

Unit cell a=5.7001 b=5.7001 c=5.7001 alpha=90.00 beta=90.00 gamma=90.00
Last column: nearest neighbours and their distance in Å.
Atoms (fractional coordinates):
Ca 0.0000 0.0000 0.5000  2 Ti 2.85
Ca 0.0000 0.5000 0.0000  2 Ti 2.85
Ca 0.5000 0.0000 0.0000  2 Ti 2.85
Ti 0.0000 0.0000 0.0000  6 Ca 2.85
Sn 0.5000 0.5000 0.5000  12 Ca 4.03

Size of the total moment ... 3.86 μB per formula unit


2.
A relaxed CaTi2Sn2 crystal. Source: the Alexandria database, functional GGA-PBE.

Unit cell a=8.4131 b=8.4131 c=3.1264 alpha=90.00 beta=90.00 gamma=90.00
Last column: nearest neighbours and their distance in Å.
Atoms (fractional coordinates):
Ca 0.0000 0.0000 0.0000  2 Ca 3.13, 4 Ti 3.39, 8 Sn 3.47
Ca 0.5000 0.5000 0.0000  2 Ca 3.13, 4 Ti 3.39, 8 Sn 3.47
Ti 0.1135 0.3865 0.0000  1 Ti 2.70, 6 Sn 2.93-2.96
Ti 0.3865 0.8865 0.0000  1 Ti 2.70, 6 Sn 2.93-2.96
Ti 0.6135 0.1135 0.0000  1 Ti 2.70, 6 Sn 2.93-2.96
Ti 0.8865 0.6135 0.0000  1 Ti 2.70, 6 Sn 2.93-2.96
Sn 0.1781 0.6781 0.5000  6 Ti 2.93-2.96, 2 Sn 3.13
Sn 0.3219 0.1781 0.5000  6 Ti 2.93-2.96, 2 Sn 3.13
Sn 0.6781 0.8219 0.5000  6 Ti 2.93-2.96, 2 Sn 3.13
Sn 0.8219 0.3219 0.5000  6 Ti 2.93-2.96, 2 Sn 3.13

Size of the total moment ... 1.40 μB per formula unit


3.
A relaxed CaTi3Sn crystal. Source: the Alexandria database, functional GGA-PBE.

Unit cell a=4.7580 b=4.7580 c=4.7580 alpha=90.00 beta=90.00 gamma=90.00
Last column: nearest neighbours and their distance in Å.
Atoms (fractional coordinates):
Ca 0.0000 0.0000 0.0000  6 Ti 2.38
Ti 0.0000 0.0000 0.5000  2 Ca 2.38
Ti 0.0000 0.5000 0.0000  2 Ca 2.38
Ti 0.5000 0.0000 0.0000  2 Ca 2.38
Sn 0.5000 0.5000 0.5000  12 Ti 3.36

Size of the total moment ... 3.70 μB per formula unit


4.
A relaxed CaTi3Sn crystal. Source: the Alexandria database, functional GGA-PBE.

Unit cell a=5.1559 b=5.1559 c=5.1559 alpha=90.00 beta=90.00 gamma=90.00
Last column: nearest neighbours and their distance in Å.
Atoms (fractional coordinates):
Ca 0.0000 0.0000 0.0000  12 Ti 3.65
Ti 0.0000 0.5000 0.5000  2 Sn 2.58
Ti 0.5000 0.0000 0.5000  2 Sn 2.58
Ti 0.5000 0.5000 0.0000  2 Sn 2.58
Sn 0.5000 0.5000 0.5000  6 Ti 2.58

Size of the total moment ... 0.00 μB per formula unit


5.
A relaxed CaTi2Sn2 crystal. Source: the Alexandria database, functional GGA-PBE.

Unit cell a=5.2483 b=5.2483 c=9.2303 alpha=90.00 beta=90.00 gamma=90.00
Last column: nearest neighbours and their distance in Å.
Atoms (fractional coordinates):
Ca 0.0000 0.0000 0.0000  2 Ti 3.27, 8 Sn 3.49
Ca 0.5000 0.5000 0.5000  2 Ti 3.27, 8 Sn 3.49
Ti 0.0000 0.0000 0.3537  1 Ti 2.70, 4 Sn 2.79
Ti 0.0000 0.0000 0.6463  1 Ti 2.70, 4 Sn 2.79
Ti 0.5000 0.5000 0.1463  1 Ti 2.70, 4 Sn 2.79
Ti 0.5000 0.5000 0.8537  1 Ti 2.70, 4 Sn 2.79
Sn 0.0000 0.5000 0.2500  4 Ti 2.79
Sn 0.0000 0.5000 0.7500  4 Ti 2.79
Sn 0.5000 0.0000 0.2500  4 Ti 2.79
Sn 0.5000 0.0000 0.7500  4 Ti 2.79

Size of the total moment ... 2.64 μB per formula unit


6.
A relaxed Ca3Ti5Sn12 crystal. Source: the Alexandria database, functional GGA-PBE.

Unit cell a=15.0073 b=15.0073 c=15.0073 alpha=109.47 beta=109.47 gamma=109.47
Last column: nearest neighbours and their distance in Å.
Atoms (fractional coordinates):
Ca 0.1250 0.2500 0.3750  4 Sn 3.22
Ca 0.1250 0.3750 0.7500  4 Sn 3.22
Ca 0.2500 0.3750 0.1250  4 Sn 3.22
Ca 0.2500 0.8750 0.6250  4 Sn 3.22
Ca 0.3750 0.1250 0.2500  4 Sn 3.22
Ca 0.3750 0.7500 0.1250  4 Sn 3.22
Ca 0.6250 0.2500 0.8750  4 Sn 3.22
Ca 0.6250 0.8750 0.7500  4 Sn 3.22
Ca 0.7500 0.1250 0.3750  4 Sn 3.22
Ca 0.7500 0.6250 0.8750  4 Sn 3.22
Ca 0.8750 0.6250 0.2500  4 Sn 3.22
Ca 0.8750 0.7500 0.6250  4 Sn 3.22
Ti 0.0000 0.0000 0.0000  6 Sn 2.72
Ti 0.0000 0.0000 0.5000  6 Sn 2.72
Ti 0.0000 0.5000 0.0000  6 Sn 2.72
Ti 0.0000 0.5000 0.5000  6 Sn 2.72
Ti 0.1250 0.7500 0.8750  4 Sn 2.74
Ti 0.1250 0.8750 0.2500  4 Sn 2.74
Ti 0.2500 0.1250 0.8750  4 Sn 2.74
Ti 0.2500 0.6250 0.3750  4 Sn 2.74
Ti 0.3750 0.2500 0.6250  4 Sn 2.74
Ti 0.3750 0.6250 0.7500  4 Sn 2.74
Ti 0.5000 0.0000 0.0000  6 Sn 2.72
Ti 0.5000 0.0000 0.5000  6 Sn 2.72
Ti 0.5000 0.5000 0.0000  6 Sn 2.72
Ti 0.5000 0.5000 0.5000  6 Sn 2.72
Ti 0.6250 0.3750 0.2500  4 Sn 2.74
Ti 0.6250 0.7500 0.3750  4 Sn 2.74
Ti 0.7500 0.3750 0.6250  4 Sn 2.74
Ti 0.7500 0.8750 0.1250  4 Sn 2.74
Ti 0.8750 0.1250 0.7500  4 Sn 2.74
Ti 0.8750 0.2500 0.1250  4 Sn 2.74
Sn 0.0178 0.2006 0.0734  2 Ti 2.72-2.74, 1 Sn 3.01
Sn 0.0178 0.3172 0.9444  2 Ti 2.72-2.74, 1 Sn 3.01
Sn 0.0556 0.5734 0.3728  2 Ti 2.72-2.74, 1 Sn 3.01
Sn 0.0556 0.9822 0.6828  2 Ti 2.72-2.74, 1 Sn 3.01
Sn 0.0734 0.0178 0.2006  2 Ti 2.72-2.74, 1 Sn 3.01
Sn 0.0734 0.5556 0.8728  2 Ti 2.72-2.74, 1 Sn 3.01
Sn 0.1272 0.7006 0.6828  2 Ti 2.72-2.74, 1 Sn 3.01
Sn 0.1272 0.9266 0.4444  2 Ti 2.72-2.74, 1 Sn 3.01
Sn 0.1828 0.2006 0.6272  2 Ti 2.72-2.74, 1 Sn 3.01
Sn 0.1828 0.4822 0.5556  2 Ti 2.72-2.74, 1 Sn 3.01
Sn 0.2006 0.0734 0.0178  2 Ti 2.72-2.74, 1 Sn 3.01
Sn 0.2006 0.6272 0.1828  2 Ti 2.72-2.74, 1 Sn 3.01
Sn 0.2994 0.3172 0.8728  2 Ti 2.72-2.74, 1 Sn 3.01
Sn 0.2994 0.4822 0.4266  2 Ti 2.72-2.74, 1 Sn 3.01
Sn 0.3172 0.8728 0.2994  2 Ti 2.72-2.74, 1 Sn 3.01
Sn 0.3172 0.9444 0.0178  2 Ti 2.72-2.74, 1 Sn 3.01
Sn 0.3728 0.0556 0.5734  2 Ti 2.72-2.74, 1 Sn 3.01
Sn 0.3728 0.8172 0.7994  2 Ti 2.72-2.74, 1 Sn 3.01
Sn 0.4266 0.2994 0.4822  2 Ti 2.72-2.74, 1 Sn 3.01
Sn 0.4266 0.6272 0.9444  2 Ti 2.72-2.74, 1 Sn 3.01
Sn 0.4444 0.1272 0.9266  2 Ti 2.72-2.74, 1 Sn 3.01
Sn 0.4444 0.8172 0.5178  2 Ti 2.72-2.74, 1 Sn 3.01
Sn 0.4822 0.4266 0.2994  2 Ti 2.72-2.74, 1 Sn 3.01
Sn 0.4822 0.5556 0.1828  2 Ti 2.72-2.74, 1 Sn 3.01
Sn 0.5178 0.4444 0.8172  2 Ti 2.72-2.74, 1 Sn 3.01
Sn 0.5178 0.5734 0.7006  2 Ti 2.72-2.74, 1 Sn 3.01
Sn 0.5556 0.1828 0.4822  2 Ti 2.72-2.74, 1 Sn 3.01
Sn 0.5556 0.8728 0.0734  2 Ti 2.72-2.74, 1 Sn 3.01
Sn 0.5734 0.3728 0.0556  2 Ti 2.72-2.74, 1 Sn 3.01
Sn 0.5734 0.7006 0.5178  2 Ti 2.72-2.74, 1 Sn 3.01
Sn 0.6272 0.1828 0.2006  2 Ti 2.72-2.74, 1 Sn 3.01
Sn 0.6272 0.9444 0.4266  2 Ti 2.72-2.74, 1 Sn 3.01
Sn 0.6828 0.0556 0.9822  2 Ti 2.72-2.74, 1 Sn 3.01
Sn 0.6828 0.1272 0.7006  2 Ti 2.72-2.74, 1 Sn 3.01
Sn 0.7006 0.5178 0.5734  2 Ti 2.72-2.74, 1 Sn 3.01
Sn 0.7006 0.6828 0.1272  2 Ti 2.72-2.74, 1 Sn 3.01
Sn 0.7994 0.3728 0.8172  2 Ti 2.72-2.74, 1 Sn 3.01
Sn 0.7994 0.9266 0.9822  2 Ti 2.72-2.74, 1 Sn 3.01
Sn 0.8172 0.5178 0.4444  2 Ti 2.72-2.74, 1 Sn 3.01
Sn 0.8172 0.7994 0.3728  2 Ti 2.72-2.74, 1 Sn 3.01
Sn 0.8728 0.0734 0.5556  2 Ti 2.72-2.74, 1 Sn 3.01
Sn 0.8728 0.2994 0.3172  2 Ti 2.72-2.74, 1 Sn 3.01
Sn 0.9266 0.4444 0.1272  2 Ti 2.72-2.74, 1 Sn 3.01
Sn 0.9266 0.9822 0.7994  2 Ti 2.72-2.74, 1 Sn 3.01
Sn 0.9444 0.0178 0.3172  2 Ti 2.72-2.74, 1 Sn 3.01
Sn 0.9444 0.4266 0.6272  2 Ti 2.72-2.74, 1 Sn 3.01
Sn 0.9822 0.6828 0.0556  2 Ti 2.72-2.74, 1 Sn 3.01
Sn 0.9822 0.7994 0.9266  2 Ti 2.72-2.74, 1 Sn 3.01

Size of the total moment ... 1.55 μB per formula unit


7.
A relaxed Ca2TiSn2 crystal. Source: the Alexandria database, functional GGA-PBE.

Unit cell a=7.5900 b=7.5900 c=4.7893 alpha=90.00 beta=90.00 gamma=90.00
Last column: nearest neighbours and their distance in Å.
Atoms (fractional coordinates):
Ca 0.1682 0.3318 0.0000  6 Sn 3.15-3.36
Ca 0.3318 0.8318 0.0000  6 Sn 3.15-3.36
Ca 0.6682 0.1682 0.0000  6 Sn 3.15-3.36
Ca 0.8318 0.6682 0.0000  6 Sn 3.15-3.36
Ti 0.0000 0.0000 0.5000  4 Sn 2.93
Ti 0.5000 0.5000 0.5000  4 Sn 2.93
Sn 0.1406 0.6406 0.5000  2 Ti 2.93, 1 Sn 3.02, 2 Ca 3.15
Sn 0.3594 0.1406 0.5000  2 Ti 2.93, 1 Sn 3.02, 2 Ca 3.15
Sn 0.6406 0.8594 0.5000  2 Ti 2.93, 1 Sn 3.02, 2 Ca 3.15
Sn 0.8594 0.3594 0.5000  2 Ti 2.93, 1 Sn 3.02, 2 Ca 3.15

Size of the total moment ... 1.89 μB per formula unit


8.
A relaxed CaY2TiSn crystal. Source: the Alexandria database, functional GGA-PBE.

Unit cell a=5.5276 b=5.5276 c=4.7925 alpha=90.00 beta=90.00 gamma=90.00
Last column: nearest neighbours and their distance in Å.
Atoms (fractional coordinates):
Ca 0.0000 0.0000 0.0000  2 Ti 2.40
Y 0.0000 0.5000 0.0000  2 Ca 2.76
Y 0.5000 0.0000 0.0000  2 Ca 2.76
Ti 0.0000 0.0000 0.5000  2 Ca 2.40
Sn 0.5000 0.5000 0.5000  8 Y 3.66, 4 Ti 3.91

Size of the total moment ... 1.41 μB per formula unit


9.
A relaxed CaTl6Sn crystal. Source: the Alexandria database, functional GGA-PBE.

Unit cell a=7.2367 b=11.5272 c=5.6881 alpha=90.00 beta=90.00 gamma=90.00
Last column: nearest neighbours and their distance in Å.
Atoms (fractional coordinates):
Ca 0.0000 0.0000 0.0000  8 Tl 3.40-3.43, 2 Sn 3.62
Ca 0.5000 0.5000 0.0000  8 Tl 3.40-3.43, 2 Sn 3.62
Tl 0.0000 0.2474 0.5000  10 Tl 3.37-3.62
Tl 0.0000 0.7526 0.5000  10 Tl 3.37-3.62
Tl 0.2355 0.5000 0.5000  2 Sn 3.32, 5 Tl 3.37-3.43, 2 Ca 3.43
Tl 0.2500 0.2500 0.0000  6 Tl 3.37-3.62, 2 Sn 3.40, 2 Ca 3.40
Tl 0.2500 0.7500 0.0000  6 Tl 3.37-3.62, 2 Sn 3.40, 2 Ca 3.40
Tl 0.2645 0.0000 0.5000  2 Sn 3.32, 5 Tl 3.37-3.43, 2 Ca 3.43
Tl 0.5000 0.2526 0.5000  10 Tl 3.37-3.62
Tl 0.5000 0.7474 0.5000  10 Tl 3.37-3.62
Tl 0.7355 0.0000 0.5000  2 Sn 3.32, 5 Tl 3.37-3.43, 2 Ca 3.43
Tl 0.7500 0.2500 0.0000  6 Tl 3.37-3.62, 2 Sn 3.40, 2 Ca 3.40
Tl 0.7500 0.7500 0.0000  6 Tl 3.37-3.62, 2 Sn 3.40, 2 Ca 3.40
Tl 0.7645 0.5000 0.5000  2 Sn 3.32, 5 Tl 3.37-3.43, 2 Ca 3.43
Sn 0.0000 0.5000 0.0000  8 Tl 3.32-3.40, 2 Ca 3.62
Sn 0.5000 0.0000 0.0000  8 Tl 3.32-3.40, 2 Ca 3.62

Size of the total moment ... 0.00 μB per formula unit


10.
A relaxed Ca8Tl2Sn crystal. Source: the Alexandria database, functional GGA-PBE.

Unit cell a=8.7400 b=8.7400 c=5.8754 alpha=100.46 beta=100.46 gamma=113.79
Last column: nearest neighbours and their distance in Å.
Atoms (fractional coordinates):
Ca 0.0756 0.3246 0.5913  2 Tl 3.22-3.29
Ca 0.2253 0.7747 0.0000  2 Tl 3.20, 1 Sn 3.30
Ca 0.3246 0.0756 0.5913  2 Tl 3.22-3.29
Ca 0.3743 0.3743 0.1912  2 Tl 3.29, 1 Sn 3.37, 1 Ca 3.62
Ca 0.6257 0.6257 0.8088  2 Tl 3.29, 1 Sn 3.37, 1 Ca 3.62
Ca 0.6754 0.9244 0.4087  2 Tl 3.22-3.29
Ca 0.7747 0.2253 0.0000  2 Tl 3.20, 1 Sn 3.30
Ca 0.9244 0.6754 0.4087  2 Tl 3.22-3.29
Tl 0.3124 0.6876 0.5000  8 Ca 3.20-3.29
Tl 0.6876 0.3124 0.5000  8 Ca 3.20-3.29
Sn 0.0000 0.0000 0.0000  4 Ca 3.30-3.37

Size of the total moment ... 0.00 μB per formula unit


11.
A relaxed Ca2Tl3Sn crystal. Source: the Alexandria database, functional GGA-PBE.

Unit cell a=3.5876 b=5.5515 c=8.8538 alpha=90.00 beta=90.00 gamma=90.00
Last column: nearest neighbours and their distance in Å.
Atoms (fractional coordinates):
Ca 0.0000 0.0000 0.0000  2 Sn 3.36, 10 Tl 3.50-3.68, 2 Ca 3.59
Ca 0.0000 0.5000 0.4813  8 Tl 3.37-3.67, 2 Ca 3.59, 4 Sn 3.60
Tl 0.5000 0.0000 0.6607  1 Sn 3.01, 2 Tl 3.10
Tl 0.5000 0.5000 0.1597  1 Tl 3.04, 2 Sn 3.12, 2 Ca 3.37
Tl 0.5000 0.5000 0.8166  3 Tl 3.04-3.10
Sn 0.5000 0.0000 0.3211  3 Tl 3.01-3.12, 2 Ca 3.36

Size of the total moment ... 0.00 μB per formula unit


12.
A relaxed CaTl3Sn crystal. Source: the Alexandria database, functional GGA-PBE.

Unit cell a=5.8805 b=6.5651 c=8.2173 alpha=90.00 beta=108.26 gamma=90.00
Last column: nearest neighbours and their distance in Å.
Atoms (fractional coordinates):
Ca 0.1506 0.2500 0.1977  3 Sn 3.34-3.37, 6 Tl 3.35-3.59
Ca 0.8494 0.7500 0.8023  3 Sn 3.34-3.37, 6 Tl 3.35-3.59
Tl 0.3043 0.5055 0.6041  5 Tl 3.21-3.45, 2 Sn 3.24-3.38, 2 Ca 3.50-3.59
Tl 0.3043 0.9945 0.6041  5 Tl 3.21-3.45, 2 Sn 3.24-3.38, 2 Ca 3.50-3.59
Tl 0.4358 0.7500 0.0183  2 Sn 3.32-3.43, 2 Ca 3.35-3.43, 6 Tl 3.40-3.62
Tl 0.5642 0.2500 0.9817  2 Sn 3.32-3.43, 2 Ca 3.35-3.43, 6 Tl 3.40-3.62
Tl 0.6957 0.0055 0.3959  5 Tl 3.21-3.45, 2 Sn 3.24-3.38, 2 Ca 3.50-3.59
Tl 0.6957 0.4945 0.3959  5 Tl 3.21-3.45, 2 Sn 3.24-3.38, 2 Ca 3.50-3.59
Sn 0.0397 0.7500 0.2302  6 Tl 3.24-3.43, 3 Ca 3.34-3.37
Sn 0.9603 0.2500 0.7698  6 Tl 3.24-3.43, 3 Ca 3.34-3.37

Size of the total moment ... 0.00 μB per formula unit


Final energy, respectively: -2.94; -5.41; -4.50; -5.15; -5.15; -4.41; -4.34; -4.31; -2.63; -2.54; -2.79; -2.78 eV/atom.
Formation energy, respectively: 0.645; -0.252; 1.441; 0.785; 0.011; 0.270; -0.363; 1.052; -0.104; -0.286; -0.276; -0.159 eV per atom.
N(E_F), respectively: 1.60; 1.48; 0.72; 2.01; 0.83; 1.05; 0.75; 1.59; 0.32; 0.71; 0.57; 0.53 states/eV per atom.